Mn4Fe5Tc after structural relaxation. Source: Alexandria, functional PBE.

Calculated values
total magnetization = 0.4810 μB/atom
SG = Fmm2 (42)
formation energy from the elements = 0.409 eV/atom
electronic total energy = -8.5268 eV per atom

```
Mn4Fe5Tc
1.0
0.000 5.342 2.225
5.330 0.000 2.225
5.330 5.342 0.000
Mn Fe Tc
4 5 1
direct
0.000 0.000 0.325 Mn
0.000 0.000 0.675 Mn
0.325 0.675 0.000 Mn
0.675 0.325 0.000 Mn
0.219 0.219 0.781 Fe
0.266 0.656 0.344 Fe
0.266 0.656 0.734 Fe
0.656 0.266 0.344 Fe
0.656 0.266 0.734 Fe
0.747 0.747 0.253 Tc
```